No. 1
# Cs3BiTe

A relaxed Cs3BiTe crystal (PBE-GGA, the Alexandria database).

ΔE to the lowest computed polymorph = 314 meV per atom
E_form (uncorrected) = -0.360 eV per atom
DOS at the Fermi energy = 1.485 states/eV/atom

Cell lengths 7.3154, 7.3154, 7.3154 Å; angles 90.00, 90.00, 90.00 degrees
With the nearest neighbours (Å) after each atom.
Atoms (fractional coordinates):
Cs: 0.0000 0.0000 0.5000  2 Te 3.66
Cs: 0.0000 0.5000 0.0000  2 Te 3.66
Cs: 0.5000 0.0000 0.0000  2 Te 3.66
Bi: 0.5000 0.5000 0.5000  12 Cs 5.17
Te: 0.0000 0.0000 0.0000  6 Cs 3.66

No. 2
# ThTeP

A relaxed ThTeP crystal (PBE-GGA, the Alexandria database).

E_form (uncorrected) = -0.929 eV per atom
DOS at the Fermi energy = 0.814 states/eV/atom

Cell lengths 5.9591, 5.9591, 5.9591 Å; angles 141.27, 141.27, 55.93 degrees
With the nearest neighbours (Å) after each atom.
Atoms (fractional coordinates):
Th: 0.0000 0.0000 0.0000  4 P 2.94
Te: 0.3255 0.3255 0.0000  1 P 2.75
P: 0.5867 0.5867 0.0000  1 Te 2.75, 4 Th 2.94

No. 3
# TbEr3Tl3

A relaxed TbEr3Tl3 crystal (PBE-GGA, the Alexandria database).

ΔE to the lowest computed polymorph = 0 meV per atom
Energy of formation = -233 meV per atom
DOS at the Fermi energy = 1.372 states/eV/atom

Cell lengths 9.2896, 9.2896, 9.2896 Å; angles 90.00, 90.00, 90.00 degrees
With the nearest neighbours (Å) after each atom.
Atoms (fractional coordinates):
Tb: 0.0713 0.4287 0.5713  6 Tl 3.14-3.35
Tb: 0.4287 0.5713 0.0713  6 Tl 3.14-3.35
Tb: 0.5713 0.0713 0.4287  6 Tl 3.14-3.35
Tb: 0.9287 0.9287 0.9287  6 Tl 3.14-3.35
Er: 0.0778 0.5778 0.9222  6 Tl 3.11-3.32
Er: 0.1770 0.1770 0.1770  6 Tl 3.11-3.30
Er: 0.1779 0.8221 0.3221  6 Tl 3.12-3.30
Er: 0.3221 0.1779 0.8221  6 Tl 3.12-3.30
Er: 0.3230 0.8230 0.6770  6 Tl 3.11-3.30
Er: 0.4222 0.4222 0.4222  6 Tl 3.11-3.32
Er: 0.5778 0.9222 0.0778  6 Tl 3.11-3.32
Er: 0.6770 0.3230 0.8230  6 Tl 3.11-3.30
Er: 0.6779 0.6779 0.6779  6 Tl 3.12-3.30
Er: 0.8221 0.3221 0.1779  6 Tl 3.12-3.30
Er: 0.8230 0.6770 0.3230  6 Tl 3.11-3.30
Er: 0.9222 0.0778 0.5778  6 Tl 3.11-3.32
Tl: 0.0004 0.2547 0.8786  6 Er 3.11-3.32, 2 Tb 3.14-3.35
Tl: 0.9996 0.7547 0.6214  6 Er 3.11-3.32, 2 Tb 3.14-3.35
Tl: 0.1214 0.5004 0.2453  6 Er 3.11-3.32, 2 Tb 3.14-3.35
Tl: 0.2453 0.1214 0.5004  6 Er 3.11-3.32, 2 Tb 3.14-3.35
Tl: 0.2547 0.8786 0.0004  6 Er 3.11-3.32, 2 Tb 3.14-3.35
Tl: 0.3786 0.4996 0.7453  6 Er 3.11-3.32, 2 Tb 3.14-3.35
Tl: 0.5004 0.2453 0.1214  6 Er 3.11-3.32, 2 Tb 3.14-3.35
Tl: 0.4996 0.7453 0.3786  6 Er 3.11-3.32, 2 Tb 3.14-3.35
Tl: 0.6214 0.9996 0.7547  6 Er 3.11-3.32, 2 Tb 3.14-3.35
Tl: 0.7453 0.3786 0.4996  6 Er 3.11-3.32, 2 Tb 3.14-3.35
Tl: 0.7547 0.6214 0.9996  6 Er 3.11-3.32, 2 Tb 3.14-3.35
Tl: 0.8786 0.0004 0.2547  6 Er 3.11-3.32, 2 Tb 3.14-3.35

Which formula does entry 1 have?
Cs3BiTe

Which formula does entry 3 have?
TbEr3Tl3

Copy entry 2 word for word.
# ThTeP

A relaxed ThTeP crystal (PBE-GGA, the Alexandria database).

E_form (uncorrected) = -0.929 eV per atom
DOS at the Fermi energy = 0.814 states/eV/atom

Cell lengths 5.9591, 5.9591, 5.9591 Å; angles 141.27, 141.27, 55.93 degrees
With the nearest neighbours (Å) after each atom.
Atoms (fractional coordinates):
Th: 0.0000 0.0000 0.0000  4 P 2.94
Te: 0.3255 0.3255 0.0000  1 P 2.75
P: 0.5867 0.5867 0.0000  1 Te 2.75, 4 Th 2.94